(1)
Entry from Alexandria via LeMat-Bulk: a geometry-optimized CuSiOs2 structure (PBE).

Structure (CIF):
```
data_CuSiOs2
_space_group_name_H-M_alt 'I -4 2 d'
_space_group_IT_number 122
_space_group_name_Hall 'I -4 2bw'
_cell_length_a 3.7329
_cell_length_b 3.7329
_cell_length_c 17.3657
_cell_angle_alpha 90.00
_cell_angle_beta 90.00
_cell_angle_gamma 90.00
loop_
_atom_site_label
_atom_site_type_symbol
_atom_site_fract_x
_atom_site_fract_y
_atom_site_fract_z
_atom_site_occupancy
Cu1 Cu 0.0000 0.0000 0.0000 1
Si1 Si 0.0000 0.0000 0.5000 1
Os1 Os 0.2142 0.2500 0.1250 1
```

Properties
The value obtained for the raw total energy is -117.89 eV per cell. The calculation puts the uncorrected formation energy at 0.627 eV/atom.

=====

(2)
Entry from Alexandria via LeMat-Bulk: a geometry-optimized CuSiOs2 structure (PBE).

Structure (CIF):
```
data_CuSiOs2
_space_group_name_H-M_alt 'I -4 m 2'
_space_group_IT_number 119
_space_group_name_Hall 'I -4 -2'
_cell_length_a 3.7441
_cell_length_b 3.7441
_cell_length_c 7.6092
_cell_angle_alpha 90.00
_cell_angle_beta 90.00
_cell_angle_gamma 90.00
loop_
_atom_site_label
_atom_site_type_symbol
_atom_site_fract_x
_atom_site_fract_y
_atom_site_fract_z
_atom_site_occupancy
Cu1 Cu 0.0000 0.0000 0.0000 1
Si1 Si 0.0000 0.5000 0.2500 1
Os1 Os 0.0000 0.0000 0.5000 1
Os2 Os 0.0000 0.5000 0.7500 1
```

Properties
The value obtained for the raw total energy is -62.23 eV per cell. The calculation puts the uncorrected formation energy at 0.216 eV/atom.

=====

(3)
Entry from Alexandria via LeMat-Bulk: a geometry-optimized CuSiOs2 structure (PBE).

Structure (CIF):
```
data_CuSiOs2
_space_group_name_H-M_alt 'P m m 2'
_space_group_IT_number 25
_cell_length_a 2.7855
_cell_length_b 3.7173
_cell_length_c 5.1968
_cell_angle_alpha 90.00
_cell_angle_beta 90.00
_cell_angle_gamma 90.00
loop_
_space_group_symop_operation_xyz
'x,y,z'
'-x,-y,z'
'-x,y,z'
'x,-y,z'
loop_
_atom_site_label
_atom_site_type_symbol
_atom_site_fract_x
_atom_site_fract_y
_atom_site_fract_z
_atom_site_occupancy
Cu1 Cu 0.0000 0.0000 0.0000 1
Si1 Si 0.5000 0.5000 0.7678 1
Os1 Os 0.0000 0.0000 0.5013 1
Os2 Os 0.5000 0.5000 0.2530 1
```

Properties
The value obtained for the raw total energy is -31.37 eV per cell. The calculation puts the uncorrected formation energy at 0.153 eV/atom.

=====

(4)
Entry from Alexandria via LeMat-Bulk: a geometry-optimized CuSiOs2 structure (PBE).

Structure (CIF):
```
data_CuSiOs2
_space_group_name_H-M_alt 'C 1 2/m 1'
_space_group_IT_number 12
_cell_length_a 5.4107
_cell_length_b 8.4618
_cell_length_c 2.7287
_cell_angle_alpha 90.00
_cell_angle_beta 118.46
_cell_angle_gamma 90.00
loop_
_space_group_symop_operation_xyz
'x,y,z'
'-x,-y,-z'
'-x,y,-z'
'x,-y,z'
'x+1/2,y+1/2,z'
'-x+1/2,-y+1/2,-z'
'-x+1/2,y+1/2,-z'
'x+1/2,-y+1/2,z'
loop_
_atom_site_label
_atom_site_type_symbol
_atom_site_fract_x
_atom_site_fract_y
_atom_site_fract_z
_atom_site_occupancy
Cu1 Cu 0.0000 0.0000 0.0000 1
Si1 Si 0.0000 0.5000 0.0000 1
Os1 Os 0.2500 0.2500 0.5000 1
```

Properties
The value obtained for the raw total energy is -61.53 eV per cell. The calculation puts the uncorrected formation energy at 0.303 eV/atom.

=====

(5)
Entry from Alexandria via LeMat-Bulk: a geometry-optimized CuSiOs2 structure (PBE).

Structure (CIF):
```
data_CuSiOs2
_space_group_name_H-M_alt 'I m m 2'
_space_group_IT_number 44
_cell_length_a 2.9184
_cell_length_b 4.1310
_cell_length_c 8.8132
_cell_angle_alpha 90.00
_cell_angle_beta 90.00
_cell_angle_gamma 90.00
loop_
_space_group_symop_operation_xyz
'x,y,z'
'-x,-y,z'
'-x,y,z'
'x,-y,z'
'x+1/2,y+1/2,z+1/2'
'-x+1/2,-y+1/2,z+1/2'
'-x+1/2,y+1/2,z+1/2'
'x+1/2,-y+1/2,z+1/2'
loop_
_atom_site_label
_atom_site_type_symbol
_atom_site_fract_x
_atom_site_fract_y
_atom_site_fract_z
_atom_site_occupancy
Cu1 Cu 0.0000 0.0000 0.0000 1
Si1 Si 0.0000 0.5000 0.2736 1
Os1 Os 0.0000 0.0000 0.5496 1
Os2 Os 0.0000 0.5000 0.7904 1
```

Properties
The value obtained for the raw total energy is -62.76 eV per cell. The calculation puts the uncorrected formation energy at 0.150 eV/atom.

=====

(6)
Entry from Alexandria via LeMat-Bulk: a geometry-optimized CuSiOs2 structure (PBE).

Structure (CIF):
```
data_CuSiOs2
_space_group_name_H-M_alt 'P 4 m m'
_space_group_IT_number 99
_cell_length_a 2.9227
_cell_length_b 2.9227
_cell_length_c 6.1165
_cell_angle_alpha 90.00
_cell_angle_beta 90.00
_cell_angle_gamma 90.00
loop_
_space_group_symop_operation_xyz
'x,y,z'
'-y,x,z'
'-x,-y,z'
'y,-x,z'
'-x,y,z'
'y,x,z'
'x,-y,z'
'-y,-x,z'
loop_
_atom_site_label
_atom_site_type_symbol
_atom_site_fract_x
_atom_site_fract_y
_atom_site_fract_z
_atom_site_occupancy
Cu1 Cu 0.0000 0.0000 0.0000 1
Si1 Si 0.5000 0.5000 0.7952 1
Os1 Os 0.0000 0.0000 0.5533 1
Os2 Os 0.5000 0.5000 0.2624 1
```

Properties
The value obtained for the raw total energy is -31.51 eV per cell. The calculation puts the uncorrected formation energy at 0.118 eV/atom.

=====

(7)
Entry from Alexandria via LeMat-Bulk: a geometry-optimized CuSi2Os structure (PBE).

Structure (CIF):
```
data_CuSi2Os
_space_group_name_H-M_alt 'C m m m'
_space_group_IT_number 65
_space_group_name_Hall '-C 2 2'
_cell_length_a 2.7924
_cell_length_b 4.9671
_cell_length_c 8.1178
_cell_angle_alpha 90.00
_cell_angle_beta 90.00
_cell_angle_gamma 90.00
loop_
_atom_site_label
_atom_site_type_symbol
_atom_site_fract_x
_atom_site_fract_y
_atom_site_fract_z
_atom_site_occupancy
Cu1 Cu 0.0000 0.0000 0.0000 1
Si1 Si 0.0000 0.5000 0.2531 1
Os1 Os 0.0000 0.0000 0.5000 1
```

Properties
The value obtained for the raw total energy is -50.25 eV per cell. The calculation puts the uncorrected formation energy at 0.262 eV/atom. As for the energy above the lowest structure with this stoichiometry: 135 kJ/mol of formula units.

=====

(8)
Entry from Alexandria via LeMat-Bulk: a geometry-optimized CuSiOs2 structure (PBE).

Structure (CIF):
```
data_CuSiOs2
_space_group_name_H-M_alt 'R 3 m'
_space_group_IT_number 160
_space_group_name_Hall 'R 3 -2"'
_cell_length_a 2.7582
_cell_length_b 2.7582
_cell_length_c 24.8498
_cell_angle_alpha 90.00
_cell_angle_beta 90.00
_cell_angle_gamma 120.00
loop_
_atom_site_label
_atom_site_type_symbol
_atom_site_fract_x
_atom_site_fract_y
_atom_site_fract_z
_atom_site_occupancy
Cu1 Cu 0.0000 0.0000 0.0000 1
Si1 Si 0.0000 0.0000 0.7443 1
Os1 Os 0.0000 0.0000 0.2439 1
Os2 Os 0.0000 0.0000 0.4911 1
```

Properties
The value obtained for the raw total energy is -94.29 eV per cell. The calculation puts the uncorrected formation energy at 0.137 eV/atom.